Entry 1:
# TlHgMo2 meta-GGA SCAN PBEsol geometry
data_TlHgMo2
_symmetry_space_group_name_H-M 'P 1'
_symmetry_Int_Tables_number 1
_cell_length_a 4.6751
_cell_length_b 4.6751
_cell_length_c 4.6751
_cell_angle_alpha 60.00
_cell_angle_beta 60.00
_cell_angle_gamma 60.00
loop_
_symmetry_equiv_pos_as_xyz
'x,y,z'
loop_
_atom_site_label
_atom_site_type_symbol
_atom_site_fract_x
_atom_site_fract_y
_atom_site_fract_z
Hg1 Hg 0.5000 0.5000 0.5000
Mo1 Mo 0.0000 0.0000 0.0000
Mo2 Mo 0.7500 0.7500 0.7500
Tl1 Tl 0.2500 0.2500 0.2500
# Symmetry ... No. 216
# Crystal system ... cubic
# Energy ... -3.7932 Ry/atom
# DOS(E_F) ... 3.06 states/eV/cell

=====

Entry 2:
# HgMoW meta-GGA SCAN PBEsol geometry
data_HgMoW
_symmetry_space_group_name_H-M 'P 1'
_symmetry_Int_Tables_number 1
_cell_length_a 2.7824
_cell_length_b 2.7824
_cell_length_c 7.1623
_cell_angle_alpha 97.50
_cell_angle_beta 97.50
_cell_angle_gamma 109.12
loop_
_symmetry_equiv_pos_as_xyz
'x,y,z'
loop_
_atom_site_label
_atom_site_type_symbol
_atom_site_fract_x
_atom_site_fract_y
_atom_site_fract_z
Hg1 Hg 0.0007 0.0007 0.0014
Mo1 Mo 0.6758 0.6758 0.3515
W1 W 0.3235 0.3235 0.6470
# Symmetry ... No. 42
# Crystal system ... orthorhombic
# Energy ... -4.1968 Ry/atom
# DOS(E_F) ... 1.46 states/eV/cell

=====

Entry 3:
# YHgMo2 meta-GGA SCAN PBEsol geometry
data_YHgMo2
_symmetry_space_group_name_H-M 'P 1'
_symmetry_Int_Tables_number 1
_cell_length_a 2.8281
_cell_length_b 5.3766
_cell_length_c 5.6873
_cell_angle_alpha 116.13
_cell_angle_beta 100.80
_cell_angle_gamma 97.44
loop_
_symmetry_equiv_pos_as_xyz
'x,y,z'
loop_
_atom_site_label
_atom_site_type_symbol
_atom_site_fract_x
_atom_site_fract_y
_atom_site_fract_z
Hg1 Hg 0.0000 0.5000 0.0000
Mo1 Mo 0.0000 0.0000 0.5000
Mo2 Mo 0.5000 0.5000 0.5000
Y1 Y 0.5000 0.0000 0.0000
# Symmetry ... No. 12
# Crystal system ... monoclinic
# Energy ... -3.0106 Ry/atom
# DOS(E_F) ... 3.73 states/eV/cell

=====

Entry 4:
# YHgMo2 meta-GGA SCAN PBEsol geometry
data_YHgMo2
_symmetry_space_group_name_H-M 'P 1'
_symmetry_Int_Tables_number 1
_cell_length_a 2.9423
_cell_length_b 2.9423
_cell_length_c 10.1915
_cell_angle_alpha 81.70
_cell_angle_beta 81.70
_cell_angle_gamma 60.00
loop_
_symmetry_equiv_pos_as_xyz
'x,y,z'
loop_
_atom_site_label
_atom_site_type_symbol
_atom_site_fract_x
_atom_site_fract_y
_atom_site_fract_z
Hg1 Hg 0.0000 0.0000 0.0000
Mo1 Mo 0.2542 0.2542 0.2374
Mo2 Mo 0.7458 0.7458 0.7626
Y1 Y 0.5000 0.5000 0.5000
# Symmetry ... No. 166
# Crystal system ... trigonal
# Energy ... -2.9876 Ry/atom
# DOS(E_F) ... 4.35 states/eV/cell

=====

Entry 5:
# YHgMo2 meta-GGA SCAN PBEsol geometry
data_YHgMo2
_symmetry_space_group_name_H-M 'P 1'
_symmetry_Int_Tables_number 1
_cell_length_a 3.0016
_cell_length_b 5.0058
_cell_length_c 5.1637
_cell_angle_alpha 90.00
_cell_angle_beta 94.31
_cell_angle_gamma 90.00
loop_
_symmetry_equiv_pos_as_xyz
'x,y,z'
loop_
_atom_site_label
_atom_site_type_symbol
_atom_site_fract_x
_atom_site_fract_y
_atom_site_fract_z
Hg1 Hg 0.0000 0.5000 0.5000
Mo1 Mo 0.8345 0.0000 0.7802
Mo2 Mo 0.1655 0.0000 0.2198
Y1 Y 0.5000 0.5000 0.0000
# Symmetry ... No. 10
# Crystal system ... monoclinic
# Energy ... -3.0165 Ry/atom
# DOS(E_F) ... 3.26 states/eV/cell

=====

Entry 6:
# YHg2Mo meta-GGA SCAN PBEsol geometry
data_YHg2Mo
_symmetry_space_group_name_H-M 'P 1'
_symmetry_Int_Tables_number 1
_cell_length_a 3.1091
_cell_length_b 5.1952
_cell_length_c 5.1952
_cell_angle_alpha 108.81
_cell_angle_beta 90.00
_cell_angle_gamma 90.00
loop_
_symmetry_equiv_pos_as_xyz
'x,y,z'
loop_
_atom_site_label
_atom_site_type_symbol
_atom_site_fract_x
_atom_site_fract_y
_atom_site_fract_z
Hg1 Hg 0.0000 0.5000 0.0000
Hg2 Hg 0.0000 0.0000 0.5000
Mo1 Mo 0.5000 0.0000 0.0000
Y1 Y 0.5000 0.5000 0.5000
# Symmetry ... No. 65
# Crystal system ... orthorhombic
# Energy ... -3.6507 Ry/atom
# DOS(E_F) ... 2.05 states/eV/cell

=====

Entry 7:
# Y2HgMo meta-GGA SCAN PBEsol geometry
data_Y2HgMo
_symmetry_space_group_name_H-M 'P 1'
_symmetry_Int_Tables_number 1
_cell_length_a 3.6346
_cell_length_b 4.9444
_cell_length_c 4.9438
_cell_angle_alpha 90.00
_cell_angle_beta 89.98
_cell_angle_gamma 90.00
loop_
_symmetry_equiv_pos_as_xyz
'x,y,z'
loop_
_atom_site_label
_atom_site_type_symbol
_atom_site_fract_x
_atom_site_fract_y
_atom_site_fract_z
Hg1 Hg 0.3750 0.0000 0.3742
Mo1 Mo 0.3750 0.5000 0.8763
Y1 Y 0.8750 0.0000 0.8745
Y2 Y 0.8750 0.5000 0.3750
# Symmetry ... No. 25
# Crystal system ... orthorhombic
# Energy ... -2.9185 Ry/atom
# DOS(E_F) ... 4.34 states/eV/cell

=====

Entry 8:
# YHg2Mo meta-GGA SCAN PBEsol geometry
data_YHg2Mo
_symmetry_space_group_name_H-M 'P 1'
_symmetry_Int_Tables_number 1
_cell_length_a 4.1868
_cell_length_b 4.1868
_cell_length_c 5.4959
_cell_angle_alpha 112.39
_cell_angle_beta 112.39
_cell_angle_gamma 90.00
loop_
_symmetry_equiv_pos_as_xyz
'x,y,z'
loop_
_atom_site_label
_atom_site_type_symbol
_atom_site_fract_x
_atom_site_fract_y
_atom_site_fract_z
Hg1 Hg 0.0000 0.0000 0.0000
Hg2 Hg 0.7500 0.2500 0.5000
Mo1 Mo 0.5000 0.5000 0.0000
Y1 Y 0.2500 0.7500 0.5000
# Symmetry ... No. 119
# Crystal system ... tetragonal
# Energy ... -3.6453 Ry/atom
# DOS(E_F) ... 2.59 states/eV/cell

=====

Entry 9:
# YHgMo2 meta-GGA SCAN PBEsol geometry
data_YHgMo2
_symmetry_space_group_name_H-M 'P 1'
_symmetry_Int_Tables_number 1
_cell_length_a 3.2518
_cell_length_b 3.2518
_cell_length_c 7.2963
_cell_angle_alpha 90.00
_cell_angle_beta 90.00
_cell_angle_gamma 90.00
loop_
_symmetry_equiv_pos_as_xyz
'x,y,z'
loop_
_atom_site_label
_atom_site_type_symbol
_atom_site_fract_x
_atom_site_fract_y
_atom_site_fract_z
Hg1 Hg 0.5000 0.5000 0.7810
Mo1 Mo 0.0000 0.0000 0.0333
Mo2 Mo 0.5000 0.5000 0.2063
Y1 Y 0.0000 0.0000 0.4794
# Symmetry ... No. 99
# Crystal system ... tetragonal
# Energy ... -3.0420 Ry/atom
# DOS(E_F) ... 2.60 states/eV/cell

=====

Entry 10:
# ZnHgMo4 meta-GGA SCAN PBEsol geometry
data_ZnHgMo4
_symmetry_space_group_name_H-M 'P 1'
_symmetry_Int_Tables_number 1
_cell_length_a 5.2087
_cell_length_b 5.2087
_cell_length_c 5.2087
_cell_angle_alpha 60.00
_cell_angle_beta 60.00
_cell_angle_gamma 60.00
loop_
_symmetry_equiv_pos_as_xyz
'x,y,z'
loop_
_atom_site_label
_atom_site_type_symbol
_atom_site_fract_x
_atom_site_fract_y
_atom_site_fract_z
Hg1 Hg 0.0000 0.0000 0.0000
Mo1 Mo 0.3751 0.3751 0.3751
Mo2 Mo 0.3751 0.3751 0.8746
Mo3 Mo 0.8746 0.3751 0.3751
Mo4 Mo 0.3751 0.8746 0.3751
Zn1 Zn 0.7500 0.7500 0.7500
# Symmetry ... No. 216
# Crystal system ... cubic
# Energy ... -2.6638 Ry/atom
# DOS(E_F) ... 4.94 states/eV/cell

=====

Entry 11:
# Zn2HgMo meta-GGA SCAN PBEsol geometry
data_Zn2HgMo
_symmetry_space_group_name_H-M 'P 1'
_symmetry_Int_Tables_number 1
_cell_length_a 2.7766
_cell_length_b 3.4261
_cell_length_c 6.5913
_cell_angle_alpha 90.00
_cell_angle_beta 90.00
_cell_angle_gamma 90.00
loop_
_symmetry_equiv_pos_as_xyz
'x,y,z'
loop_
_atom_site_label
_atom_site_type_symbol
_atom_site_fract_x
_atom_site_fract_y
_atom_site_fract_z
Hg1 Hg 0.0000 0.0000 0.4878
Mo1 Mo 0.5000 0.5000 0.7849
Zn1 Zn 0.0000 0.0000 0.0121
Zn2 Zn 0.5000 0.5000 0.2151
# Symmetry ... No. 25
# Crystal system ... orthorhombic
# Energy ... -2.3659 Ry/atom
# DOS(E_F) ... 1.65 states/eV/cell

=====

Entry 12:
# ZrHg3Mo meta-GGA SCAN PBEsol geometry
data_ZrHg3Mo
_symmetry_space_group_name_H-M 'P 1'
_symmetry_Int_Tables_number 1
_cell_length_a 5.0447
_cell_length_b 5.0447
_cell_length_c 5.0447
_cell_angle_alpha 90.00
_cell_angle_beta 90.00
_cell_angle_gamma 90.00
loop_
_symmetry_equiv_pos_as_xyz
'x,y,z'
loop_
_atom_site_label
_atom_site_type_symbol
_atom_site_fract_x
_atom_site_fract_y
_atom_site_fract_z
Mo1 Mo 0.0000 0.0000 0.0000
Hg1 Hg 0.0000 0.5000 0.0000
Hg2 Hg 0.0000 0.0000 0.5000
Hg3 Hg 0.5000 0.0000 0.0000
Zr1 Zr 0.5000 0.5000 0.5000
# Symmetry ... No. 221
# Crystal system ... cubic
# Energy ... -3.8926 Ry/atom
# DOS(E_F) ... 1.28 states/eV/cell

=====

Entry 13:
# ZrHg2Mo meta-GGA SCAN PBEsol geometry
data_ZrHg2Mo
_symmetry_space_group_name_H-M 'P 1'
_symmetry_Int_Tables_number 1
_cell_length_a 2.9681
_cell_length_b 4.8014
_cell_length_c 5.2766
_cell_angle_alpha 90.00
_cell_angle_beta 92.50
_cell_angle_gamma 90.00
loop_
_symmetry_equiv_pos_as_xyz
'x,y,z'
loop_
_atom_site_label
_atom_site_type_symbol
_atom_site_fract_x
_atom_site_fract_y
_atom_site_fract_z
Hg1 Hg 0.8800 0.0000 0.9749
Hg2 Hg 0.8569 0.5000 0.2789
Mo1 Mo 0.4474 0.0000 0.4794
Zr1 Zr 0.3156 0.5000 0.7668
# Symmetry ... No. 6
# Crystal system ... monoclinic
# Energy ... -3.6992 Ry/atom
# DOS(E_F) ... 2.32 states/eV/cell

=====

Entry 14:
# ZrHg2Mo meta-GGA SCAN PBEsol geometry
data_ZrHg2Mo
_symmetry_space_group_name_H-M 'P 1'
_symmetry_Int_Tables_number 1
_cell_length_a 3.6042
_cell_length_b 3.6042
_cell_length_c 5.8243
_cell_angle_alpha 90.00
_cell_angle_beta 90.00
_cell_angle_gamma 90.00
loop_
_symmetry_equiv_pos_as_xyz
'x,y,z'
loop_
_atom_site_label
_atom_site_type_symbol
_atom_site_fract_x
_atom_site_fract_y
_atom_site_fract_z
Hg1 Hg 0.0000 0.0000 0.7592
Hg2 Hg 0.0000 0.0000 0.2408
Mo1 Mo 0.5000 0.5000 0.0000
Zr1 Zr 0.5000 0.5000 0.5000
# Symmetry ... No. 123
# Crystal system ... tetragonal
# Energy ... -3.6955 Ry/atom
# DOS(E_F) ... 2.87 states/eV/cell